1.
# BaTc2Mo

Crystalline BaTc2Mo at its relaxed geometry (PBE-GGA, Alexandria).

Calculated values
Formation energy from the elements = 1.31 eV per atom
Space group = P4/mmm
Magnetic moment = 0.00 μB per cell
Theoretical density = 9.38 g/cm3
E above lowest polymorph = 696 meV per atom
Calculated total energy = -7.061 eV per atom

Lattice parameters (Å, degrees): 4.8425 4.8425 3.2418 90.00 90.00 90.00
Closest atoms and distances in Å follow each position.
Sites, in units of the cell vectors:
Ba  0.0000  0.0000  0.0000  8 Tc 2.91, 2 Ba 3.24
Tc  0.0000  0.5000  0.5000  4 Mo 2.91, 4 Ba 2.91, 2 Tc 3.24
Tc  0.5000  0.0000  0.5000  4 Mo 2.91, 4 Ba 2.91, 2 Tc 3.24
Mo  0.5000  0.5000  0.0000  8 Tc 2.91, 2 Mo 3.24

2.
# ZrTa4Mn

Crystalline ZrTa4Mn at its relaxed geometry (PBE-GGA, Alexandria).

Calculated values
Formation energy from the elements = 0.33 eV per atom
Space group = F-43m
Magnetic moment = 1.37 μB per cell
Theoretical density = 12.35 g/cm3
Calculated total energy = -10.523 eV per atom

Lattice parameters (Å, degrees): 5.4898 5.4898 5.4898 60.00 60.00 60.00
Closest atoms and distances in Å follow each position.
Sites, in units of the cell vectors:
Zr  0.0000  0.0000  0.0000  12 Ta 3.22, 4 Mn 3.36
Ta  0.3744  0.3744  0.3744  6 Ta 2.73-2.76
Ta  0.3744  0.3744  0.8769  6 Ta 2.73-2.76
Ta  0.3744  0.8769  0.3744  6 Ta 2.73-2.76
Ta  0.8769  0.3744  0.3744  6 Ta 2.73-2.76
Mn  0.7500  0.7500  0.7500  12 Ta 3.22, 4 Zr 3.36